Entry 1:
Compound: K2NaZnPt
Source: the Alexandria database
Functional: PBE-GGA
Structure: optimized geometry

CIF file:
```
data_K2NaZnPt
_chemical_formula_sum 'K2 Na1 Zn1 Pt1'
_cell_length_a 6.314
_cell_length_b 6.314
_cell_length_c 5.363
_cell_angle_alpha 90.00
_cell_angle_beta 90.00
_cell_angle_gamma 90.00
_space_group_name_H-M_alt 'P 4/m m m'
_space_group_IT_number 123
_space_group_name_Hall '-P 4 2'
loop_
_atom_site_label
_atom_site_fract_x
_atom_site_fract_y
_atom_site_fract_z
K1 0.000 0.500 0.000
Na1 0.000 0.000 0.000
Zn1 0.000 0.000 0.500
Pt1 0.500 0.500 0.500
```

Total DFT energy (no corrections)   -1.502 eV per atom
Energy of formation from the pure elements   663 meV per atom
ΔE to the lowest computed polymorph   0.676 eV per atom

=====

Entry 2:
Compound: K4NaPu3S8
Source: the Alexandria database
Functional: PBE-GGA
Structure: optimized geometry

CIF file:
```
data_K4NaPu3S8
_chemical_formula_sum 'K12 Na3 Pu9 S24'
_cell_length_a 8.2161
_cell_length_b 8.2161
_cell_length_c 21.8190
_cell_angle_alpha 90.00
_cell_angle_beta 90.00
_cell_angle_gamma 120.00
_space_group_name_H-M_alt 'R -3 m'
_space_group_IT_number 166
_space_group_name_Hall '-R 3 2"'
loop_
_atom_site_label
_atom_site_fract_x
_atom_site_fract_y
_atom_site_fract_z
K1 0.0000 0.0000 0.0000
K2 0.0000 0.5000 0.0000
Na1 0.0000 0.0000 0.5000
Pu1 0.0000 0.5000 0.5000
S1 0.0000 0.0000 0.2335
S2 0.0205 0.5102 0.7676
```

Raw formation energy   -1.4604 eV/atom
Total DFT energy (no corrections)   -6.568 eV per atom

=====

Entry 3:
Compound: K3NaPu3Se8
Source: the Alexandria database
Functional: PBE-GGA
Structure: optimized geometry

CIF file:
```
data_K3NaPu3Se8
_chemical_formula_sum 'K6 Na2 Pu6 Se16'
_cell_length_a 14.688
_cell_length_b 8.445
_cell_length_c 9.060
_cell_angle_alpha 90.00
_cell_angle_beta 122.63
_cell_angle_gamma 90.00
_space_group_name_H-M_alt 'C 1 2/m 1'
_space_group_IT_number 12
_space_group_name_Hall '-C 2y'
loop_
_atom_site_label
_atom_site_fract_x
_atom_site_fract_y
_atom_site_fract_z
K1 0.000 0.000 0.000
K2 0.250 0.250 0.000
Na1 0.000 0.000 0.500
Pu1 0.000 0.500 0.500
Pu2 0.250 0.250 0.500
Se1 0.022 0.268 0.298
Se2 0.236 0.500 0.707
Se3 0.245 0.000 0.700
```

Raw formation energy   -1.2401 eV/atom
Total DFT energy (no corrections)   -6.272 eV per atom

=====

Entry 4:
Compound: KNaPuSe3
Source: the Alexandria database
Functional: PBE-GGA
Structure: optimized geometry

CIF file:
```
data_KNaPuSe3
_chemical_formula_sum 'K2 Na2 Pu2 Se6'
_cell_length_a 7.948
_cell_length_b 4.257
_cell_length_c 10.300
_cell_angle_alpha 90.00
_cell_angle_beta 92.85
_cell_angle_gamma 90.00
_space_group_name_H-M_alt 'P 1 21/m 1'
_space_group_IT_number 11
_space_group_name_Hall '-P 2yb'
loop_
_atom_site_label
_atom_site_fract_x
_atom_site_fract_y
_atom_site_fract_z
K1 0.077 0.250 0.166
Na1 0.247 0.750 0.496
Pu1 0.419 0.250 0.822
Se1 0.128 0.250 0.669
Se2 0.302 0.750 0.986
Se3 0.439 0.250 0.319
```

Raw formation energy   -1.2514 eV/atom
Total DFT energy (no corrections)   -5.785 eV per atom

=====

Entry 5:
Compound: K12Rb4Na
Source: the Alexandria database
Functional: PBE-GGA
Structure: optimized geometry

CIF file:
```
data_K12Rb4Na
_chemical_formula_sum 'K24 Rb8 Na2'
_cell_length_a 11.210
_cell_length_b 11.225
_cell_length_c 23.604
_cell_angle_alpha 90.00
_cell_angle_beta 90.00
_cell_angle_gamma 90.00
_space_group_name_H-M_alt 'I m m m'
_space_group_IT_number 71
_space_group_name_Hall '-I 2 2'
loop_
_atom_site_label
_atom_site_fract_x
_atom_site_fract_y
_atom_site_fract_z
K1 0.000 0.197 0.101
K2 0.182 0.318 0.500
K3 0.197 0.000 0.399
Rb1 0.250 0.250 0.250
Na1 0.000 0.500 0.000
```

Total DFT energy (no corrections)   -0.971 eV per atom
Energy of formation from the pure elements   109 meV per atom

=====

Entry 6:
Compound: K3Rb6Na2
Source: the Alexandria database
Functional: PBE-GGA
Structure: optimized geometry

CIF file:
```
data_K3Rb6Na2
_chemical_formula_sum 'K6 Rb12 Na4'
_cell_length_a 6.547
_cell_length_b 6.547
_cell_length_c 40.832
_cell_angle_alpha 90.00
_cell_angle_beta 90.00
_cell_angle_gamma 90.00
_space_group_name_H-M_alt 'I 4/m m m'
_space_group_IT_number 139
_space_group_name_Hall '-I 4 2'
loop_
_atom_site_label
_atom_site_fract_x
_atom_site_fract_y
_atom_site_fract_z
K1 0.000 0.000 0.000
K2 0.000 0.000 0.190
Rb1 0.000 0.000 0.300
Rb2 0.000 0.500 0.102
Na1 0.000 0.000 0.460
```

Total DFT energy (no corrections)   -0.999 eV per atom
Energy of formation from the pure elements   68 meV per atom

=====

Entry 7:
Compound: KRb2Na3
Source: the Alexandria database
Functional: PBE-GGA
Structure: optimized geometry

CIF file:
```
data_KRb2Na3
_chemical_formula_sum 'K2 Rb4 Na6'
_cell_length_a 13.465
_cell_length_b 7.867
_cell_length_c 8.040
_cell_angle_alpha 90.00
_cell_angle_beta 124.66
_cell_angle_gamma 90.00
_space_group_name_H-M_alt 'C 1 2/m 1'
_space_group_IT_number 12
_space_group_name_Hall '-C 2y'
loop_
_atom_site_label
_atom_site_fract_x
_atom_site_fract_y
_atom_site_fract_z
K1 0.000 0.000 0.000
Rb1 0.119 0.500 0.858
Na1 0.000 0.000 0.500
Na2 0.250 0.250 0.500
```

Total DFT energy (no corrections)   -1.145 eV per atom
Energy of formation from the pure elements   20 meV per atom
ΔE to the lowest computed polymorph   0.000 eV per atom

=====

Entry 8:
Compound: K6Rb2Na
Source: the Alexandria database
Functional: PBE-GGA
Structure: optimized geometry

CIF file:
```
data_K6Rb2Na
_chemical_formula_sum 'K6 Rb2 Na1'
_cell_length_a 4.7223
_cell_length_b 4.7223
_cell_length_c 33.8828
_cell_angle_alpha 90.00
_cell_angle_beta 90.00
_cell_angle_gamma 120.00
_space_group_name_H-M_alt 'P -6 m 2'
_space_group_IT_number 187
_space_group_name_Hall 'P -6 2'
loop_
_atom_site_label
_atom_site_fract_x
_atom_site_fract_y
_atom_site_fract_z
K1 0.0000 0.0000 0.0630
K2 0.0000 0.0000 0.2974
K3 0.3333 0.6667 0.4089
Rb1 0.3333 0.6667 0.1804
Na1 0.0000 0.0000 0.5000
```

Total DFT energy (no corrections)   -1.066 eV per atom
Energy of formation from the pure elements   28 meV per atom
ΔE to the lowest computed polymorph   0.000 eV per atom

=====

Entry 9:
Compound: K5Rb3Na
Source: the Alexandria database
Functional: PBE-GGA
Structure: optimized geometry

CIF file:
```
data_K5Rb3Na
_chemical_formula_sum 'K10 Rb6 Na2'
_cell_length_a 13.1621
_cell_length_b 13.1621
_cell_length_c 8.8601
_cell_angle_alpha 90.00
_cell_angle_beta 90.00
_cell_angle_gamma 120.00
_space_group_name_H-M_alt 'P 63/m c m'
_space_group_IT_number 193
_space_group_name_Hall '-P 6c 2'
loop_
_atom_site_label
_atom_site_fract_x
_atom_site_fract_y
_atom_site_fract_z
K1 0.0000 0.2646 0.2500
K2 0.3333 0.6667 0.0000
Rb1 0.0000 0.3795 0.7500
Na1 0.0000 0.0000 0.0000
```

Total DFT energy (no corrections)   -1.049 eV per atom
Energy of formation from the pure elements   30 meV per atom
ΔE to the lowest computed polymorph   0.012 eV per atom

=====

Entry 10:
Compound: KRb2Na9
Source: the Alexandria database
Functional: PBE-GGA
Structure: optimized geometry

CIF file:
```
data_KRb2Na9
_chemical_formula_sum 'K3 Rb6 Na27'
_cell_length_a 7.3692
_cell_length_b 7.3692
_cell_length_c 36.8225
_cell_angle_alpha 90.00
_cell_angle_beta 90.00
_cell_angle_gamma 120.00
_space_group_name_H-M_alt 'R -3 m'
_space_group_IT_number 166
_space_group_name_Hall '-R 3 2"'
loop_
_atom_site_label
_atom_site_fract_x
_atom_site_fract_y
_atom_site_fract_z
K1 0.0000 0.0000 0.0000
Rb1 0.0000 0.0000 0.1413
Na1 0.0000 0.0000 0.3332
Na2 0.0000 0.0000 0.5000
Na3 0.0003 0.5001 0.0815
```

Total DFT energy (no corrections)   -1.223 eV per atom
Energy of formation from the pure elements   19 meV per atom

=====

Entry 11:
Compound: K10RbNa6
Source: the Alexandria database
Functional: PBE-GGA
Structure: optimized geometry

CIF file:
```
data_K10RbNa6
_chemical_formula_sum 'K10 Rb1 Na6'
_cell_length_a 11.7810
_cell_length_b 11.7810
_cell_length_c 8.5144
_cell_angle_alpha 90.00
_cell_angle_beta 90.00
_cell_angle_gamma 120.00
_space_group_name_H-M_alt 'P -3 1 m'
_space_group_IT_number 162
_space_group_name_Hall '-P 3 2'
loop_
_atom_site_label
_atom_site_fract_x
_atom_site_fract_y
_atom_site_fract_z
K1 0.0000 0.2996 0.3241
K2 0.3333 0.6667 0.0000
K3 0.3333 0.6667 0.5000
Rb1 0.0000 0.0000 0.0000
Na1 0.0000 0.3650 0.8302
```

Total DFT energy (no corrections)   -1.141 eV per atom
Energy of formation from the pure elements   27 meV per atom

=====

Entry 12:
Compound: K7Rb6Na
Source: the Alexandria database
Functional: PBE-GGA
Structure: optimized geometry

CIF file:
```
data_K7Rb6Na
_chemical_formula_sum 'K28 Rb24 Na4'
_cell_length_a 8.642
_cell_length_b 32.247
_cell_length_c 15.882
_cell_angle_alpha 90.00
_cell_angle_beta 90.00
_cell_angle_gamma 90.00
_space_group_name_H-M_alt 'I b a m'
_space_group_IT_number 72
_space_group_name_Hall '-I 2 2c'
loop_
_atom_site_label
_atom_site_fract_x
_atom_site_fract_y
_atom_site_fract_z
K1 0.000 0.000 0.250
K2 0.095 0.255 0.128
K3 0.239 0.486 0.500
Rb1 0.212 0.122 0.500
Rb2 0.235 0.375 0.323
Na1 0.000 0.500 0.250
```

Total DFT energy (no corrections)   -1.018 eV per atom
Energy of formation from the pure elements   40 meV per atom

=====

Entry 13:
Compound: KRb3Na6
Source: the Alexandria database
Functional: PBE-GGA
Structure: optimized geometry

CIF file:
```
data_KRb3Na6
_chemical_formula_sum 'K6 Rb18 Na36'
_cell_length_a 15.4100
_cell_length_b 15.4100
_cell_length_c 16.7680
_cell_angle_alpha 90.00
_cell_angle_beta 90.00
_cell_angle_gamma 120.00
_space_group_name_H-M_alt 'R -3 c'
_space_group_IT_number 167
_space_group_name_Hall '-R 3 2"c'
loop_
_atom_site_label
_atom_site_fract_x
_atom_site_fract_y
_atom_site_fract_z
K1 0.0000 0.0000 0.0000
Rb1 0.0000 0.4597 0.2500
Na1 0.0887 0.1998 0.3218
```

Total DFT energy (no corrections)   -1.125 eV per atom
Energy of formation from the pure elements   66 meV per atom
ΔE to the lowest computed polymorph   0.023 eV per atom

=====

Entry 14:
Compound: K7Rb2Na
Source: the Alexandria database
Functional: PBE-GGA
Structure: optimized geometry

CIF file:
```
data_K7Rb2Na
_chemical_formula_sum 'K28 Rb8 Na4'
_cell_length_a 14.940
_cell_length_b 14.940
_cell_length_c 14.940
_cell_angle_alpha 90.00
_cell_angle_beta 90.00
_cell_angle_gamma 90.00
_space_group_name_H-M_alt 'F m -3 m'
_space_group_IT_number 225
_space_group_name_Hall '-F 4 2 3'
loop_
_atom_site_label
_atom_site_fract_x
_atom_site_fract_y
_atom_site_fract_z
K1 0.000 0.000 0.000
K2 0.000 0.000 0.261
Rb1 0.250 0.250 0.250
Na1 0.000 0.000 0.500
```

Total DFT energy (no corrections)   -0.976 eV per atom
Energy of formation from the pure elements   118 meV per atom
ΔE to the lowest computed polymorph   0.097 eV per atom

=====

Entry 15:
Compound: K5Rb5Na2
Source: the Alexandria database
Functional: PBE-GGA
Structure: optimized geometry

CIF file:
```
data_K5Rb5Na2
_chemical_formula_sum 'K10 Rb10 Na4'
_cell_length_a 21.037
_cell_length_b 6.891
_cell_length_c 13.982
_cell_angle_alpha 90.00
_cell_angle_beta 120.26
_cell_angle_gamma 90.00
_space_group_name_H-M_alt 'C 1 2/m 1'
_space_group_IT_number 12
_space_group_name_Hall '-C 2y'
loop_
_atom_site_label
_atom_site_fract_x
_atom_site_fract_y
_atom_site_fract_z
K1 0.000 0.000 0.000
K2 0.077 0.000 0.734
K3 0.246 0.500 0.713
Rb1 0.000 0.500 0.500
Rb2 0.107 0.500 0.287
Rb3 0.166 0.500 0.998
Na1 0.154 0.000 0.505
```

Total DFT energy (no corrections)   -1.061 eV per atom
Energy of formation from the pure elements   20 meV per atom
ΔE to the lowest computed polymorph   0.000 eV per atom

=====

Entry 16:
Compound: KRbNa
Source: the Alexandria database
Functional: PBE-GGA
Structure: optimized geometry

CIF file:
```
data_KRbNa
_chemical_formula_sum 'K8 Rb8 Na8'
_cell_length_a 8.689
_cell_length_b 14.633
_cell_length_c 12.329
_cell_angle_alpha 90.00
_cell_angle_beta 90.00
_cell_angle_gamma 90.00
_space_group_name_H-M_alt 'C m c e'
_space_group_IT_number 64
_space_group_name_Hall '-C 2ac 2'
loop_
_atom_site_label
_atom_site_fract_x
_atom_site_fract_y
_atom_site_fract_z
K1 0.250 0.112 0.250
Rb1 0.000 0.145 0.589
Na1 0.000 0.104 0.928
```

Total DFT energy (no corrections)   -1.094 eV per atom
Energy of formation from the pure elements   34 meV per atom
ΔE to the lowest computed polymorph   0.012 eV per atom

=====

Entry 17:
Compound: K5Rb3Na6
Source: the Alexandria database
Functional: PBE-GGA
Structure: optimized geometry

CIF file:
```
data_K5Rb3Na6
_chemical_formula_sum 'K10 Rb6 Na12'
_cell_length_a 6.248
_cell_length_b 14.675
_cell_length_c 19.036
_cell_angle_alpha 90.00
_cell_angle_beta 90.00
_cell_angle_gamma 90.00
_space_group_name_H-M_alt 'I m m m'
_space_group_IT_number 71
_space_group_name_Hall '-I 2 2'
loop_
_atom_site_label
_atom_site_fract_x
_atom_site_fract_y
_atom_site_fract_z
K1 0.000 0.000 0.000
K2 0.000 0.154 0.310
Rb1 0.000 0.500 0.000
Rb2 0.000 0.500 0.328
Na1 0.000 0.229 0.099
Na2 0.000 0.290 0.500
```

Total DFT energy (no corrections)   -1.129 eV per atom
Energy of formation from the pure elements   36 meV per atom

=====

Entry 18:
Compound: K2Rb2Na3
Source: the Alexandria database
Functional: PBE-GGA
Structure: optimized geometry

CIF file:
```
data_K2Rb2Na3
_chemical_formula_sum 'K4 Rb4 Na6'
_cell_length_a 8.627
_cell_length_b 11.894
_cell_length_c 8.884
_cell_angle_alpha 90.00
_cell_angle_beta 108.30
_cell_angle_gamma 90.00
_space_group_name_H-M_alt 'P 1 21/c 1'
_space_group_IT_number 14
_space_group_name_Hall '-P 2ybc'
loop_
_atom_site_label
_atom_site_fract_x
_atom_site_fract_y
_atom_site_fract_z
K1 0.131 0.183 0.085
Rb1 0.365 0.656 0.870
Na1 0.139 0.518 0.188
Na2 0.500 0.000 0.000
```

Total DFT energy (no corrections)   -1.125 eV per atom
Energy of formation from the pure elements   30 meV per atom

=====

Entry 19:
Compound: K3Rb2Na4
Source: the Alexandria database
Functional: PBE-GGA
Structure: optimized geometry

CIF file:
```
data_K3Rb2Na4
_chemical_formula_sum 'K6 Rb4 Na8'
_cell_length_a 12.630
_cell_length_b 6.644
_cell_length_c 12.701
_cell_angle_alpha 90.00
_cell_angle_beta 96.72
_cell_angle_gamma 90.00
_space_group_name_H-M_alt 'C 1 2/m 1'
_space_group_IT_number 12
_space_group_name_Hall '-C 2y'
loop_
_atom_site_label
_atom_site_fract_x
_atom_site_fract_y
_atom_site_fract_z
K1 0.000 0.000 0.000
K2 0.161 0.500 0.571
Rb1 0.174 0.500 0.214
Na1 0.009 0.000 0.351
Na2 0.158 0.500 0.889
```

Total DFT energy (no corrections)   -1.133 eV per atom
Energy of formation from the pure elements   34 meV per atom